Version i
A relaxed structure of NaZrOs2. Source: the Alexandria database, functional PBE.

a = 7.519 Å, b = 7.519 Å, c = 5.246 Å
α = 90.00°, β = 90.00°, γ = 90.00°
Positions (direct):
Na (0.000, 0.000, 0.000)
Na (0.000, 0.500, 0.250)
Na (0.500, 0.000, 0.750)
Na (0.500, 0.500, 0.500)
Zr (0.000, 0.000, 0.500)
Zr (0.000, 0.500, 0.750)
Zr (0.500, 0.000, 0.250)
Zr (0.500, 0.500, 0.000)
Os (0.241, 0.750, 0.625)
Os (0.250, 0.241, 0.375)
Os (0.250, 0.259, 0.875)
Os (0.259, 0.750, 0.125)
Os (0.741, 0.250, 0.125)
Os (0.750, 0.741, 0.875)
Os (0.750, 0.759, 0.375)
Os (0.759, 0.250, 0.625)



Version ii
A relaxed structure of NaZrOs2. Source: the Alexandria database, functional PBE.

a = 6.481 Å, b = 6.481 Å, c = 6.481 Å
α = 90.00°, β = 90.00°, γ = 90.00°
Positions (direct):
Na (0.000, 0.000, 0.000)
Na (0.000, 0.500, 0.500)
Na (0.500, 0.000, 0.500)
Na (0.500, 0.500, 0.000)
Zr (0.000, 0.000, 0.500)
Zr (0.000, 0.500, 0.000)
Zr (0.500, 0.000, 0.000)
Zr (0.500, 0.500, 0.500)
Os (0.250, 0.250, 0.250)
Os (0.250, 0.250, 0.750)
Os (0.250, 0.750, 0.250)
Os (0.250, 0.750, 0.750)
Os (0.750, 0.250, 0.250)
Os (0.750, 0.250, 0.750)
Os (0.750, 0.750, 0.250)
Os (0.750, 0.750, 0.750)



Most stable structure - version ii; separation to the second - 0.386 eV/atom.



Version i
A relaxed structure of NaP. Source: the Alexandria database, functional PBE.

a = 8.723 Å, b = 8.723 Å, c = 8.723 Å
α = 90.00°, β = 90.00°, γ = 90.00°
Positions (direct):
Na (0.215, 0.215, 0.215)
Na (0.215, 0.785, 0.785)
Na (0.285, 0.285, 0.715)
Na (0.285, 0.715, 0.285)
Na (0.715, 0.285, 0.285)
Na (0.715, 0.715, 0.715)
Na (0.785, 0.215, 0.785)
Na (0.785, 0.785, 0.215)
P (0.094, 0.094, 0.906)
P (0.094, 0.906, 0.094)
P (0.406, 0.406, 0.406)
P (0.406, 0.594, 0.594)
P (0.594, 0.406, 0.594)
P (0.594, 0.594, 0.406)
P (0.906, 0.094, 0.094)
P (0.906, 0.906, 0.906)



Version ii
A relaxed structure of NaP. Source: the Alexandria database, functional PBE.

a = 6.028 Å, b = 5.614 Å, c = 11.207 Å
α = 90.00°, β = 116.66°, γ = 90.00°
Positions (direct):
Na (0.209, 0.116, 0.335)
Na (0.209, 0.384, 0.835)
Na (0.231, 0.663, 0.523)
Na (0.231, 0.837, 0.023)
Na (0.769, 0.163, 0.977)
Na (0.769, 0.337, 0.477)
Na (0.791, 0.616, 0.165)
Na (0.791, 0.884, 0.665)
P (0.332, 0.159, 0.632)
P (0.332, 0.341, 0.132)
P (0.334, 0.608, 0.284)
P (0.334, 0.892, 0.784)
P (0.666, 0.108, 0.216)
P (0.666, 0.392, 0.716)
P (0.668, 0.659, 0.868)
P (0.668, 0.841, 0.368)



Most stable structure - version ii; separation to the second - 0.618 eV/atom.